1.
First-principles (GGA-PBEsol) data for an optimized crystal structure of CaIn2I, as listed in Alexandria.

The structure in POSCAR format:
```
CaIn2I
1.0
5.591 0.000 0.000
2.796 4.842 0.000
2.796 1.614 4.565
Ca In I
1 2 1
Cartesian
0.000 0.000 0.000 Ca
2.796 1.614 1.141 In
8.387 4.842 3.424 In
5.591 3.228 2.283 I
```

**Formation energy from raw total energies**: -76 meV/atom

2.
First-principles (GGA-PBEsol) data for an optimized crystal structure of FeTc5, as listed in Alexandria.

The structure in POSCAR format:
```
FeTc5
1.0
-3.609 -0.162 1.080
1.079 -1.049 3.449
2.033 5.506 1.038
Tc Fe
5 1
Cartesian
0.694 3.144 2.791 Tc
-1.191 1.152 2.775 Tc
0.074 1.748 0.509 Tc
-1.649 3.596 1.609 Tc
0.539 -0.524 1.725 Tc
-1.804 -0.081 0.540 Fe
```

**Polymorph energy (0 for the lowest one)**: 0.35 eV/f.u.
**Formation energy from the elements**: 0.46 eV per formula unit